A geometry-optimized BeZn2Ir structure, computed with PBE.

Results
Formation energy from the elements (eV per atom): -0.17

abc: 3.6693 2.7792 5.2619
angles: 74.65 90.00 90.00
Last column: nearest neighbours and their distance in Å.
Sites, in units of the cell vectors:
Zn 0.5000 0.4374 0.2497  2 Be 2.38, 4 Zn 2.62-2.63
Be 0.0000 0.2916 0.5485  3 Zn 2.30-2.38, 4 Ir 2.42-2.43
Zn 0.0000 0.0594 0.0020  1 Be 2.30
Ir 0.5000 0.7116 0.6998  4 Be 2.42-2.43, 2 Zn 2.67